Entry 1:
PtS5, relaxed, DFT PBE; DFT total energy = -50.893 eV per cell; SG = P2_1/m (11)
1.0
5.389 0.000 0.000
0.000 13.064 0.000
-2.610 0.000 5.070
Pt S
2 10
Direct
0.161 0.250 0.301 Pt
0.839 0.750 0.699 Pt
0.144 0.750 0.553 S
0.383 0.071 0.949 S
0.383 0.429 0.949 S
0.479 0.130 0.308 S
0.479 0.370 0.308 S
0.521 0.630 0.692 S
0.521 0.870 0.692 S
0.617 0.571 0.051 S
0.617 0.929 0.051 S
0.856 0.250 0.447 S


Entry 2:
Pt4S, relaxed, DFT PBE; DFT total energy = -25.772 eV per cell; SG = Pm-3m (221)
1.0
4.451 0.000 0.000
0.000 4.451 0.000
0.000 0.000 4.451
Pt S
4 1
Direct
0.000 0.000 0.000 Pt
0.000 0.500 0.500 Pt
0.500 0.000 0.500 Pt
0.500 0.500 0.000 Pt
0.500 0.500 0.500 S


Entry 3:
PtS, relaxed, DFT PBE; DFT total energy = -20.376 eV per cell; SG = Pm (6)
1.0
4.430 0.000 0.000
0.000 2.798 0.000
-0.578 0.000 6.095
Pt S
2 2
Direct
0.000 0.000 0.000 Pt
0.285 0.000 0.412 Pt
0.403 0.000 0.791 S
0.771 0.000 0.322 S


Entry 4:
PtS8, relaxed, DFT PBE; DFT total energy = -35.434 eV per cell; SG = I4/mmm (139)
1.0
-3.567 3.567 4.252
3.567 -3.567 4.252
3.567 3.567 -4.252
Pt S
1 8
Direct
0.000 0.000 0.000 Pt
0.000 0.323 0.323 S
0.000 0.677 0.677 S
0.323 0.000 0.323 S
0.345 0.345 0.691 S
0.345 0.655 0.000 S
0.655 0.345 0.000 S
0.655 0.655 0.309 S
0.677 0.000 0.677 S


Entry 5:
PtS, relaxed, DFT PBE; DFT total energy = -41.402 eV per cell; SG = P4_2/mnm (136)
1.0
6.848 0.000 0.000
0.000 6.848 0.000
0.000 0.000 3.507
Pt S
4 4
Direct
0.137 0.137 0.000 Pt
0.363 0.637 0.500 Pt
0.637 0.363 0.500 Pt
0.863 0.863 0.000 Pt
0.203 0.797 0.000 S
0.297 0.297 0.500 S
0.703 0.703 0.500 S
0.797 0.203 0.000 S


Entry 6:
PtS, relaxed, DFT PBE; DFT total energy = -21.053 eV per cell; SG = P1 (1)
1.0
3.553 0.000 0.000
1.385 4.163 0.000
0.372 0.984 5.407
Pt S
2 2
Direct
0.000 0.000 0.000 Pt
0.404 0.758 0.612 Pt
0.806 0.058 0.397 S
0.963 0.536 0.876 S


Entry 7:
PtS, relaxed, DFT PBE; DFT total energy = -21.270 eV per cell; SG = P-3m1 (164)
1.0
3.749 0.000 0.000
-1.874 3.247 0.000
0.000 0.000 5.793
Pt S
2 2
Direct
0.333 0.667 0.138 Pt
0.667 0.333 0.862 Pt
0.000 0.000 0.310 S
0.000 0.000 0.690 S


Entry 8:
PtS, relaxed, DFT PBE; DFT total energy = -10.148 eV per cell; SG = F-43m (216)
1.0
0.000 2.707 2.707
2.707 0.000 2.707
2.707 2.707 0.000
Pt S
1 1
Direct
0.000 0.000 0.000 Pt
0.250 0.250 0.250 S


Entry 9:
PtS, relaxed, DFT PBE; DFT total energy = -61.753 eV per cell; SG = Pmn2_1 (31)
1.0
11.524 0.000 0.000
0.000 4.233 0.000
0.000 0.000 4.560
Pt S
6 6
Direct
0.000 0.140 0.000 Pt
0.196 0.357 0.736 Pt
0.304 0.643 0.236 Pt
0.500 0.860 0.500 Pt
0.696 0.643 0.236 Pt
0.804 0.357 0.736 Pt
0.000 0.639 0.782 S
0.177 0.155 0.247 S
0.323 0.845 0.747 S
0.500 0.361 0.282 S
0.677 0.845 0.747 S
0.823 0.155 0.247 S


Entry 10:
PtS, relaxed, DFT PBE; DFT total energy = -20.757 eV per cell; SG = P2_1/m (11)
1.0
3.301 0.000 0.000
0.000 5.452 0.000
-1.528 0.000 4.908
Pt S
2 2
Direct
0.000 0.000 0.000 Pt
0.000 0.500 0.000 Pt
0.396 0.250 0.775 S
0.604 0.750 0.225 S


Entry 11:
SbPt2S6, relaxed, DFT PBE; DFT total energy = -43.330 eV per cell; SG = C2/m (12)
1.0
6.221 -1.805 0.000
6.221 1.805 0.000
-4.782 0.000 9.344
Sb Pt S
1 2 6
Direct
0.000 0.000 0.000 Sb
0.330 0.330 0.662 Pt
0.670 0.670 0.338 Pt
0.025 0.025 0.265 S
0.314 0.314 0.426 S
0.326 0.326 0.890 S
0.674 0.674 0.110 S
0.686 0.686 0.574 S
0.975 0.975 0.735 S


Entry 12:
SbPtS2, relaxed, DFT PBE; DFT total energy = -18.848 eV per cell; SG = R-3m (166)
1.0
1.802 1.040 8.044
-1.802 1.040 8.044
0.000 -2.080 8.044
Sb Pt S
1 1 2
Direct
0.000 0.000 0.000 Sb
0.500 0.500 0.500 Pt
0.115 0.115 0.115 S
0.885 0.885 0.885 S


Entry 13:
Sb3PtS, relaxed, DFT PBE; distance to the lowest polymorph of the same formula = 0.00 eV per formula unit; SG = Pm-3m (221)
1.0
5.250 0.000 0.000
0.000 5.250 0.000
0.000 0.000 5.250
Sb Pt S
3 1 1
Direct
0.000 0.000 0.500 Sb
0.000 0.500 0.000 Sb
0.500 0.000 0.000 Sb
0.000 0.000 0.000 Pt
0.500 0.500 0.500 S


Entry 14:
Sb3PtS, relaxed, DFT PBE; distance to the lowest polymorph of the same formula = 1.02 eV per formula unit; SG = Pm-3m (221)
1.0
5.076 0.000 0.000
0.000 5.076 0.000
0.000 0.000 5.076
Sb Pt S
3 1 1
Direct
0.000 0.000 0.500 Sb
0.000 0.500 0.000 Sb
0.500 0.000 0.000 Sb
0.500 0.500 0.500 Pt
0.000 0.000 0.000 S


Entry 15:
SbPtS4, relaxed, DFT PBE; DFT total energy = -27.931 eV per cell; SG = C2/m (12)
1.0
6.405 -1.823 0.000
6.405 1.823 0.000
-1.038 0.000 6.192
Sb Pt S
1 1 4
Direct
0.000 0.000 0.000 Sb
0.500 0.500 0.500 Pt
0.106 0.106 0.398 S
0.384 0.384 0.156 S
0.616 0.616 0.844 S
0.894 0.894 0.602 S


Entry 16:
SbPt3S, relaxed, DFT PBE; distance to the lowest polymorph of the same formula = 0.00 eV per formula unit; SG = Pm-3m (221)
1.0
4.600 0.000 0.000
0.000 4.600 0.000
0.000 0.000 4.600
Sb Pt S
1 3 1
Direct
0.000 0.000 0.000 Sb
0.000 0.500 0.500 Pt
0.500 0.000 0.500 Pt
0.500 0.500 0.000 Pt
0.500 0.500 0.500 S


Entry 17:
SbPtS2, relaxed, DFT PBE; DFT total energy = -17.972 eV per cell; SG = R-3m (166)
1.0
1.999 1.154 7.328
-1.999 1.154 7.328
0.000 -2.308 7.328
Sb Pt S
1 1 2
Direct
0.000 0.000 0.000 Sb
0.500 0.500 0.500 Pt
0.400 0.400 0.400 S
0.600 0.600 0.600 S


Entry 18:
SbPt3S, relaxed, DFT PBE; distance to the lowest polymorph of the same formula = 4.42 eV per formula unit; SG = Pm-3m (221)
1.0
4.956 0.000 0.000
0.000 4.956 0.000
0.000 0.000 4.956
Sb Pt S
1 3 1
Direct
0.000 0.000 0.000 Sb
0.000 0.000 0.500 Pt
0.000 0.500 0.000 Pt
0.500 0.000 0.000 Pt
0.500 0.500 0.500 S


Entry 19:
SbPtS2, relaxed, DFT PBE; DFT total energy = -36.020 eV per cell; SG = I-42d (122)
1.0
-2.935 2.935 5.733
2.935 -2.935 5.733
2.935 2.935 -5.733
Sb Pt S
2 2 4
Direct
0.000 0.000 0.000 Sb
0.750 0.250 0.500 Sb
0.250 0.750 0.500 Pt
0.500 0.500 0.000 Pt
0.177 0.625 0.052 S
0.375 0.427 0.552 S
0.573 0.125 0.948 S
0.875 0.823 0.448 S


Entry 20:
SbPt2S4, relaxed, DFT PBE; DFT total energy = -69.562 eV per cell; SG = I4_1/a (88)
1.0
-3.395 3.395 5.947
3.395 -3.395 5.947
3.395 3.395 -5.947
Sb Pt S
2 4 8
Direct
0.375 0.125 0.250 Sb
0.625 0.875 0.750 Sb
0.000 0.000 0.500 Pt
0.000 0.500 0.000 Pt
0.000 0.500 0.500 Pt
0.500 0.500 0.000 Pt
0.021 0.125 0.299 S
0.222 0.521 0.396 S
0.327 0.722 0.201 S
0.375 0.173 0.896 S
0.625 0.827 0.104 S
0.673 0.278 0.799 S
0.778 0.479 0.604 S
0.979 0.875 0.701 S


Entry 21:
Sc2SbPtS, relaxed, DFT PBE; DFT total energy = -24.710 eV per cell; SG = P4/mmm (123)
1.0
5.381 0.000 0.000
0.000 5.381 0.000
0.000 0.000 4.850
Sc Sb Pt S
2 1 1 1
Direct
0.000 0.500 0.000 Sc
0.500 0.000 0.000 Sc
0.000 0.000 0.000 Sb
0.500 0.500 0.500 Pt
0.000 0.000 0.500 S


Entry 22:
SbTePt2S, relaxed, DFT PBE; DFT total energy = -19.590 eV per cell; SG = P4/mmm (123)
1.0
5.036 0.000 0.000
0.000 5.036 0.000
0.000 0.000 4.985
Sb Te Pt S
1 1 2 1
Direct
0.000 0.000 0.000 Sb
0.500 0.500 0.500 Te
0.000 0.500 0.000 Pt
0.500 0.000 0.000 Pt
0.000 0.000 0.500 S


Entry 23:
Sb2TePtS, relaxed, DFT PBE; distance to the lowest polymorph of the same formula = 0.00 eV per formula unit; SG = P4/mmm (123)
1.0
5.215 0.000 0.000
0.000 5.215 0.000
0.000 0.000 5.364
Sb Te Pt S
2 1 1 1
Direct
0.000 0.500 0.000 Sb
0.500 0.000 0.000 Sb
0.000 0.000 0.500 Te
0.000 0.000 0.000 Pt
0.500 0.500 0.500 S


Entry 24:
Sb2TePtS, relaxed, DFT PBE; distance to the lowest polymorph of the same formula = 1.21 eV per formula unit; SG = P4/mmm (123)
1.0
5.127 0.000 0.000
0.000 5.127 0.000
0.000 0.000 5.052
Sb Te Pt S
2 1 1 1
Direct
0.000 0.500 0.000 Sb
0.500 0.000 0.000 Sb
0.000 0.000 0.500 Te
0.500 0.500 0.500 Pt
0.000 0.000 0.000 S


Entry 25:
ScPt2S, relaxed, DFT PBE; DFT total energy = -48.944 eV per cell; SG = I-42d (122)
1.0
-2.426 2.426 7.123
2.426 -2.426 7.123
2.426 2.426 -7.123
Sc Pt S
2 4 2
Direct
0.000 0.000 0.000 Sc
0.750 0.250 0.500 Sc
0.214 0.625 0.089 Pt
0.375 0.464 0.589 Pt
0.536 0.125 0.911 Pt
0.875 0.786 0.411 Pt
0.250 0.750 0.500 S
0.500 0.500 0.000 S


Entry 26:
ScPt3S, relaxed, DFT PBE; distance to the lowest polymorph of the same formula = 0.00 eV per formula unit; SG = Pm-3m (221)
1.0
4.539 0.000 0.000
0.000 4.539 0.000
0.000 0.000 4.539
Sc Pt S
1 3 1
Direct
0.000 0.000 0.000 Sc
0.000 0.500 0.500 Pt
0.500 0.000 0.500 Pt
0.500 0.500 0.000 Pt
0.500 0.500 0.500 S


| no. | volume (Å³/f.u.) |
| --- | --- |
| 1 | 178.4 |
| 2 | 88.2 |
| 3 | 37.8 |
| 4 | 216.4 |
| 5 | 41.1 |
| 6 | 40.0 |
| 7 | 35.3 |
| 8 | 39.7 |
| 9 | 37.1 |
| 10 | 44.2 |
| 11 | 209.8 |
| 12 | 90.5 |
| 13 | 144.7 |
| 14 | 130.8 |
| 15 | 144.6 |
| 16 | 97.3 |
| 17 | 101.4 |
| 18 | 121.8 |
| 19 | 98.8 |
| 20 | 137.1 |
| 21 | 140.4 |
| 22 | 126.4 |
| 23 | 145.9 |
| 24 | 132.8 |
| 25 | 83.9 |
| 26 | 93.5 |